The following is a DFT calculation (PBE-GGA) of AcScCu2S4 after structural relaxation.

Computed properties:
Crystal system = orthorhombic
E = -5.66 eV per atom

Cell: 6.345 6.159 6.159 Å, 69.42 59.00 59.00°
Positions (direct):
Sc1 0.500 0.500 0.500
Cu1 0.837 0.663 0.663
Cu2 0.163 0.337 0.337
S1 0.088 0.880 0.492
S2 0.459 0.120 0.508
S3 0.912 0.508 0.120
S4 0.541 0.492 0.880
Ac1 0.000 0.000 0.000

=====

The following is a DFT calculation (PBE-GGA) of La5TmPb4 after structural relaxation.

Computed properties:
Crystal system = monoclinic
Energy relative to the elements = -0.408 eV/atom
E = -4.80 eV per atom

Cell: 5.559 7.417 11.577 Å, 128.73 103.89 90.00°
Positions (direct):
La1 0.833 0.673 0.666
La2 0.500 0.500 0.000
La3 0.834 0.168 0.668
La4 0.167 0.327 0.334
La5 0.166 0.832 0.332
Pb1 0.329 0.904 0.657
Pb2 0.007 0.254 0.014
Pb3 0.671 0.096 0.343
Pb4 0.993 0.746 0.986
Tm1 0.500 0.000 0.000

=====

The following is a DFT calculation (PBE-GGA) of Ta2HgW after structural relaxation.

Computed properties:
Crystal system = orthorhombic
Energy relative to the elements = 0.277 eV/atom
E = -8.96 eV per atom

Cell: 2.849 2.849 9.467 Å, 90.00 90.00 107.79°
Positions (direct):
Ta1 0.500 0.500 0.255
Ta2 0.000 0.000 0.009
W1 0.000 0.000 0.489
Hg1 0.500 0.500 0.747

=====

The following is a DFT calculation (PBE-GGA) of La6Rh4Pb after structural relaxation.

Computed properties:
Crystal system = orthorhombic
Energy relative to the elements = -0.665 eV/atom
E = -6.36 eV per atom

Cell: 4.261 7.295 21.336 Å, 90.00 90.00 106.98°
Positions (direct):
La1 0.235 0.470 0.587
La2 0.962 0.923 0.849
La3 0.500 0.000 0.500
La4 0.962 0.923 0.651
La5 0.038 0.077 0.349
La6 0.341 0.682 0.250
La7 0.765 0.530 0.413
La8 0.500 0.000 0.000
La9 0.235 0.470 0.913
La10 0.038 0.077 0.151
La11 0.765 0.530 0.087
La12 0.659 0.318 0.750
Rh1 0.137 0.273 0.042
Rh2 0.602 0.205 0.873
Rh3 0.863 0.727 0.958
Rh4 0.602 0.205 0.627
Rh5 0.137 0.273 0.458
Rh6 0.398 0.795 0.127
Rh7 0.863 0.727 0.542
Rh8 0.398 0.795 0.373
Pb1 0.659 0.317 0.250
Pb2 0.341 0.683 0.750

=====

The following is a DFT calculation (PBE-GGA) of CaOsCl2 after structural relaxation.

Computed properties:
Crystal system = monoclinic
E = -4.33 eV per atom

Cell: 3.257 5.559 5.584 Å, 46.59 90.00 90.00°
Positions (direct):
Cl1 0.000 0.000 0.000
Cl2 0.500 0.500 0.000
Ca1 0.000 0.000 0.500
Os1 0.500 0.500 0.500

=====

The following is a DFT calculation (PBE-GGA) of YRe2Tc after structural relaxation.

Computed properties:
Crystal system = orthorhombic
Energy relative to the elements = 0.296 eV/atom
E = -10.14 eV per atom

Cell: 5.454 5.454 5.454 Å, 146.59 127.76 63.45°
Positions (direct):
Y1 0.251 0.751 0.500
Re1 0.974 0.974 0.000
Re2 0.751 0.251 0.500
Tc1 0.524 0.524 0.000

=====

The following is a DFT calculation (PBE-GGA) of TaCdRe after structural relaxation.

Computed properties:
Crystal system = cubic
Energy relative to the elements = 0.807 eV/atom
E = -7.60 eV per atom

Cell: 4.467 4.467 4.467 Å, 60.00 60.00 60.00°
Positions (direct):
Ta1 0.000 0.000 0.000
Re1 0.750 0.750 0.750
Cd1 0.500 0.500 0.500

=====

The following is a DFT calculation (PBE-GGA) of YRu2Se after structural relaxation.

Computed properties:
Crystal system = cubic
E = -6.99 eV per atom

Cell: 4.682 4.682 4.682 Å, 60.00 60.00 60.00°
Each line ends with the local moment (μB).
Positions (direct):
Se1 0.500 0.500 0.500  0.06
Y1 0.250 0.250 0.250  0.06
Ru1 0.000 0.000 0.000  1.36
Ru2 0.750 0.750 0.750  1.07

=====

The following is a DFT calculation (PBE-GGA) of ThGaSnRh3 after structural relaxation.

Computed properties:
Crystal system = orthorhombic
Energy relative to the elements = -0.536 eV/atom
E = -6.62 eV per atom

Cell: 6.300 5.888 7.002 Å, 114.86 90.00 90.00°
Positions (direct):
Ga1 0.750 0.084 0.168
Ga2 0.250 0.916 0.832
Rh1 0.000 0.262 0.000
Rh2 0.500 0.262 0.000
Rh3 0.500 0.738 0.000
Rh4 0.250 0.159 0.318
Rh5 0.750 0.841 0.682
Rh6 0.000 0.738 0.000
Sn1 0.250 0.363 0.725
Sn2 0.750 0.637 0.275
Th1 0.250 0.672 0.343
Th2 0.750 0.328 0.657

=====

The following is a DFT calculation (PBE-GGA) of LiTmHfMo after structural relaxation.

Computed properties:
Crystal system = cubic
Energy relative to the elements = 0.142 eV/atom
E = -6.65 eV per atom

Cell: 4.792 4.792 4.792 Å, 60.00 60.00 60.00°
Positions (direct):
Hf1 0.250 0.250 0.250
Tm1 0.750 0.750 0.750
Li1 0.500 0.500 0.500
Mo1 0.000 0.000 0.000

=====

The following is a DFT calculation (PBE-GGA) of Be2OsPt after structural relaxation.

Computed properties:
Crystal system = monoclinic
Energy relative to the elements = -0.298 eV/atom
E = -6.48 eV per atom

Cell: 3.779 2.810 4.464 Å, 72.53 90.00 90.00°
Positions (direct):
Be1 0.500 0.046 0.290
Be2 0.000 0.201 0.964
Pt1 0.500 0.759 0.838
Os1 0.000 0.494 0.408

=====

The following is a DFT calculation (PBE-GGA) of RbAu2 after structural relaxation.

Computed properties:
Crystal system = tetragonal
Energy relative to the elements = -0.145 eV/atom
E = -2.65 eV per atom

Cell: 3.877 3.877 6.626 Å, 107.01 107.01 90.00°
Positions (direct):
Rb1 0.000 0.000 0.000
Au1 0.735 0.735 0.470
Au2 0.265 0.265 0.530